Density functional theory data (PBE) for a relaxed structure of SrTb2CeAs4.

Calculated values
- M_tot (μB/f.u.) = 0.2
- mass density (g/cm³) = 6.54
- volume (Å³/atom) = 26.8
- final energy (eV/atom) = -5.813
- ΔE_f (eV per atom) = -1.379

The structure in CIF format:
```
data_SrTb2CeAs4
_cell_length_a 7.320
_cell_length_b 4.230
_cell_length_c 7.331
_cell_angle_alpha 90.00
_cell_angle_beta 109.01
_cell_angle_gamma 90.00
_space_group_name_H-M_alt 'P 1 2/m 1'
_space_group_IT_number 10
loop_
_space_group_symop_operation_xyz
'x,y,z'
'-x,-y,-z'
'-x,y,-z'
'x,-y,z'
loop_
_atom_site_label
_atom_site_type_symbol
_atom_site_fract_x
_atom_site_fract_y
_atom_site_fract_z
Sr1 Sr 0.000 0.000 0.000
Tb1 Tb 0.000 0.500 0.500
Tb2 Tb 0.500 0.000 0.500
Ce1 Ce 0.500 0.500 0.000
As1 As 0.257 0.000 0.744
As2 As 0.267 0.500 0.261
```

***

Density functional theory data (PBE) for a relaxed structure of Sr2TbCeAs4.

Calculated values
- M_tot (μB/f.u.) = 0.0
- mass density (g/cm³) = 5.61
- volume (Å³/atom) = 28.6
- final energy (eV/atom) = -5.306
- ΔE_f (eV per atom) = -1.240

The structure in CIF format:
```
data_Sr2TbCeAs4
_cell_length_a 7.446
_cell_length_b 4.308
_cell_length_c 7.565
_cell_angle_alpha 90.00
_cell_angle_beta 109.30
_cell_angle_gamma 90.00
_space_group_name_H-M_alt 'P 1 2/m 1'
_space_group_IT_number 10
loop_
_space_group_symop_operation_xyz
'x,y,z'
'-x,-y,-z'
'-x,y,-z'
'x,-y,z'
loop_
_atom_site_label
_atom_site_type_symbol
_atom_site_fract_x
_atom_site_fract_y
_atom_site_fract_z
Sr1 Sr 0.000 0.000 0.000
Sr2 Sr 0.500 0.500 0.000
Tb1 Tb 0.000 0.500 0.500
Ce1 Ce 0.500 0.000 0.500
As1 As 0.241 0.000 0.723
As2 As 0.261 0.500 0.279
```

***

Density functional theory data (PBE) for a relaxed structure of Sr3CeTh2As6.

Calculated values
- M_tot (μB/f.u.) = 0.0
- mass density (g/cm³) = 6.17
- volume (Å³/atom) = 29.5
- final energy (eV/atom) = -5.817
- ΔE_f (eV per atom) = -1.341

The structure in CIF format:
```
data_Sr3CeTh2As6
_cell_length_a 7.550
_cell_length_b 13.074
_cell_length_c 7.609
_cell_angle_alpha 90.00
_cell_angle_beta 109.31
_cell_angle_gamma 90.00
_space_group_name_H-M_alt 'C 1 2/m 1'
_space_group_IT_number 12
loop_
_space_group_symop_operation_xyz
'x,y,z'
'-x,-y,-z'
'-x,y,-z'
'x,-y,z'
'x+1/2,y+1/2,z'
'-x+1/2,-y+1/2,-z'
'-x+1/2,y+1/2,-z'
'x+1/2,-y+1/2,z'
loop_
_atom_site_label
_atom_site_type_symbol
_atom_site_fract_x
_atom_site_fract_y
_atom_site_fract_z
Sr1 Sr 0.000 0.000 0.000
Sr2 Sr 0.000 0.333 0.000
Ce1 Ce 0.000 0.500 0.500
Th1 Th 0.000 0.167 0.500
As1 As 0.240 0.335 0.724
As2 As 0.245 0.000 0.724
```

***

Density functional theory data (PBE) for a relaxed structure of Sr3Ce2ThAs6.

Calculated values
- M_tot (μB/f.u.) = 0.0
- mass density (g/cm³) = 5.79
- volume (Å³/atom) = 29.2
- final energy (eV/atom) = -5.673
- ΔE_f (eV per atom) = -1.320

The structure in CIF format:
```
data_Sr3Ce2ThAs6
_cell_length_a 7.531
_cell_length_b 13.041
_cell_length_c 7.575
_cell_angle_alpha 90.00
_cell_angle_beta 109.35
_cell_angle_gamma 90.00
_space_group_name_H-M_alt 'C 1 2/m 1'
_space_group_IT_number 12
loop_
_space_group_symop_operation_xyz
'x,y,z'
'-x,-y,-z'
'-x,y,-z'
'x,-y,z'
'x+1/2,y+1/2,z'
'-x+1/2,-y+1/2,-z'
'-x+1/2,y+1/2,-z'
'x+1/2,-y+1/2,z'
loop_
_atom_site_label
_atom_site_type_symbol
_atom_site_fract_x
_atom_site_fract_y
_atom_site_fract_z
Sr1 Sr 0.000 0.000 0.000
Sr2 Sr 0.000 0.334 0.000
Ce1 Ce 0.000 0.167 0.500
Th1 Th 0.000 0.500 0.500
As1 As 0.237 0.000 0.722
As2 As 0.242 0.332 0.722
```